No. 1
Entry from the Alexandria database: a geometry-optimized InCl structure (GGA-PBE).

Cell lengths 6.7678, 6.7678, 6.7678 Å; angles 148.24, 133.45, 57.45 degrees
Atoms (fractional coordinates):
In1 0.3640 0.1140 0.2500
In2 0.6360 0.8860 0.7500
Cl1 0.1574 0.4074 0.7500
Cl2 0.8426 0.5926 0.2500

Computed properties:
Electronic total energy: -12.09 eV/cell

---

No. 2
Entry from the Alexandria database: a geometry-optimized In7Cl9 structure (GGA-PBE).

Cell lengths 12.4061, 12.4061, 12.4061 Å; angles 90.00, 90.00, 90.00 degrees
Atoms (fractional coordinates):
In1 0.0000 0.0000 0.0000
In2 0.0000 0.5000 0.5000
In3 0.0662 0.1707 0.6823
In4 0.0662 0.3293 0.1823
In5 0.1707 0.6823 0.0662
In6 0.1707 0.8177 0.5662
In7 0.1823 0.0662 0.3293
In8 0.1823 0.4338 0.8293
In9 0.3177 0.5662 0.3293
In10 0.3177 0.9338 0.8293
In11 0.3293 0.1823 0.0662
In12 0.3293 0.3177 0.5662
In13 0.4338 0.6707 0.6823
In14 0.4338 0.8293 0.1823
In15 0.5000 0.0000 0.5000
In16 0.5000 0.5000 0.0000
In17 0.5662 0.1707 0.8177
In18 0.5662 0.3293 0.3177
In19 0.6707 0.6823 0.4338
In20 0.6707 0.8177 0.9338
In21 0.6823 0.0662 0.1707
In22 0.6823 0.4338 0.6707
In23 0.8177 0.5662 0.1707
In24 0.8177 0.9338 0.6707
In25 0.8293 0.1823 0.4338
In26 0.8293 0.3177 0.9338
In27 0.9338 0.6707 0.8177
In28 0.9338 0.8293 0.3177
Cl1 0.0000 0.0000 0.5000
Cl2 0.0000 0.5000 0.0000
Cl3 0.0430 0.5494 0.3040
Cl4 0.0430 0.9506 0.8040
Cl5 0.0494 0.1960 0.9570
Cl6 0.0494 0.3040 0.4570
Cl7 0.1679 0.6679 0.8321
Cl8 0.1679 0.8321 0.3321
Cl9 0.1960 0.5430 0.5494
Cl10 0.1960 0.9570 0.0494
Cl11 0.3040 0.0430 0.5494
Cl12 0.3040 0.4570 0.0494
Cl13 0.3321 0.1679 0.8321
Cl14 0.3321 0.3321 0.3321
Cl15 0.4506 0.6960 0.9570
Cl16 0.4506 0.8040 0.4570
Cl17 0.4570 0.0494 0.3040
Cl18 0.4570 0.4506 0.8040
Cl19 0.5000 0.0000 0.0000
Cl20 0.5000 0.5000 0.5000
Cl21 0.5430 0.5494 0.1960
Cl22 0.5430 0.9506 0.6960
Cl23 0.5494 0.1960 0.5430
Cl24 0.5494 0.3040 0.0430
Cl25 0.6679 0.6679 0.6679
Cl26 0.6679 0.8321 0.1679
Cl27 0.6960 0.5430 0.9506
Cl28 0.6960 0.9570 0.4506
Cl29 0.8040 0.0430 0.9506
Cl30 0.8040 0.4570 0.4506
Cl31 0.8321 0.1679 0.6679
Cl32 0.8321 0.3321 0.1679
Cl33 0.9506 0.6960 0.5430
Cl34 0.9506 0.8040 0.0430
Cl35 0.9570 0.0494 0.1960
Cl36 0.9570 0.4506 0.6960

Computed properties:
Electronic total energy: -200.79 eV/cell

---

No. 3
Entry from the Alexandria database: a geometry-optimized InCl structure (GGA-PBE).

Cell lengths 5.0344, 5.0344, 5.0344 Å; angles 60.00, 60.00, 60.00 degrees
Atoms (fractional coordinates):
In1 0.0000 0.0000 0.0000
Cl1 0.2500 0.2500 0.2500

Computed properties:
Electronic total energy: -6.04 eV/cell

---

No. 4
Entry from the Alexandria database: a geometry-optimized In5Cl3 structure (GGA-PBE).

Cell lengths 7.1460, 7.5692, 10.0503 Å; angles 95.48, 106.84, 106.08 degrees
Atoms (fractional coordinates):
In1 0.0000 0.0000 0.0000
In2 0.0223 0.6963 0.7220
In3 0.1194 0.3659 0.5188
In4 0.2077 0.6190 0.1229
In5 0.2641 0.9787 0.5478
In6 0.4894 0.8559 0.9519
In7 0.5188 0.7021 0.6317
In8 0.5949 0.4470 0.0527
In9 0.6374 0.3272 0.5773
In10 0.8526 0.0172 0.5832
Cl1 0.0133 0.3083 0.2156
Cl2 0.0391 0.8128 0.2756
Cl3 0.1598 0.2744 0.8404
Cl4 0.4430 0.1120 0.1511
Cl5 0.5424 0.6609 0.3582
Cl6 0.6512 0.2117 0.8444

Computed properties:
Electronic total energy: -46.52 eV/cell

---

No. 5
Entry from the Alexandria database: a geometry-optimized InCl5 structure (GGA-PBE).

Cell lengths 7.5404, 7.5404, 8.0169 Å; angles 109.90, 109.90, 28.34 degrees
Atoms (fractional coordinates):
In1 0.0000 0.0000 0.0000
Cl1 0.2384 0.2384 0.1910
Cl2 0.2700 0.2700 0.4550
Cl3 0.5242 0.5242 0.2336
Cl4 0.5548 0.5548 0.8325
Cl5 0.8288 0.8288 0.8527

Computed properties:
Electronic total energy: -15.96 eV/cell
Relative energy among the computed polymorphs: 0.006 eV/atom

---

No. 6
Entry from the Alexandria database: a geometry-optimized InCl3 structure (GGA-PBE).

Cell lengths 6.9812, 10.9808, 7.8174 Å; angles 90.00, 90.00, 90.00 degrees
Atoms (fractional coordinates):
In1 0.2159 0.2500 0.1491
In2 0.2841 0.7500 0.6491
In3 0.7159 0.2500 0.3509
In4 0.7841 0.7500 0.8509
Cl1 0.0353 0.5964 0.7531
Cl2 0.0353 0.9036 0.7531
Cl3 0.2226 0.2500 0.8510
Cl4 0.2774 0.7500 0.3510
Cl5 0.4647 0.0964 0.2531
Cl6 0.4647 0.4036 0.2531
Cl7 0.5353 0.5964 0.7469
Cl8 0.5353 0.9036 0.7469
Cl9 0.7226 0.2500 0.6490
Cl10 0.7774 0.7500 0.1490
Cl11 0.9647 0.0964 0.2469
Cl12 0.9647 0.4036 0.2469

Computed properties:
Electronic total energy: -49.68 eV/cell

---

No. 7
Entry from the Alexandria database: a geometry-optimized InCl2 structure (GGA-PBE).

Cell lengths 6.8440, 6.8440, 7.2624 Å; angles 90.04, 90.04, 30.37 degrees
Atoms (fractional coordinates):
In1 0.0000 0.0000 0.0000
In2 0.7442 0.7442 0.5239
Cl1 0.1021 0.1021 0.4650
Cl2 0.3207 0.3207 0.2807
Cl3 0.3487 0.3487 0.7150
Cl4 0.6466 0.6466 0.8649

Computed properties:
Electronic total energy: -17.99 eV/cell

---

No. 8
Entry from the Alexandria database: a geometry-optimized InCl3 structure (GGA-PBE).

Cell lengths 5.0252, 5.0252, 4.8026 Å; angles 90.00, 90.00, 118.60 degrees
Atoms (fractional coordinates):
In1 0.0000 0.0000 0.0000
Cl1 0.0000 0.5000 0.5000
Cl2 0.5000 0.0000 0.5000
Cl3 0.5000 0.5000 0.0000

Computed properties:
Electronic total energy: -9.76 eV/cell

---

No. 9
Entry from the Alexandria database: a geometry-optimized InCl2 structure (GGA-PBE).

Cell lengths 4.6853, 4.6853, 8.1274 Å; angles 90.00, 90.00, 120.00 degrees
Atoms (fractional coordinates):
In1 0.3333 0.6667 0.2500
In2 0.6667 0.3333 0.7500
Cl1 0.0000 0.0000 0.0000
Cl2 0.0000 0.0000 0.5000
Cl3 0.3333 0.6667 0.7500
Cl4 0.6667 0.3333 0.2500

Computed properties:
Electronic total energy: -16.36 eV/cell

---

No. 10
Entry from the Alexandria database: a geometry-optimized In6Cl structure (GGA-PBE).

Cell lengths 7.1231, 7.1231, 7.1231 Å; angles 109.47, 109.47, 109.47 degrees
Atoms (fractional coordinates):
In1 0.2500 0.5000 0.7500
In2 0.2500 0.7500 0.5000
In3 0.5000 0.2500 0.7500
In4 0.5000 0.7500 0.2500
In5 0.7500 0.2500 0.5000
In6 0.7500 0.5000 0.2500
Cl1 0.0000 0.0000 0.0000

Computed properties:
Electronic total energy: -16.41 eV/cell

---

No. 11
Entry from the Alexandria database: a geometry-optimized In2Cl structure (GGA-PBE).

Cell lengths 6.0719, 6.0719, 6.0719 Å; angles 142.99, 142.26, 53.89 degrees
Atoms (fractional coordinates):
In1 0.1672 0.1672 0.0000
In2 0.8328 0.8328 0.0000
Cl1 0.5000 0.5000 0.0000

Computed properties:
Electronic total energy: -8.34 eV/cell
Relative energy among the computed polymorphs: 0.081 eV/atom

---

No. 12
Entry from the Alexandria database: a geometry-optimized In2Cl structure (GGA-PBE).

Cell lengths 6.0444, 6.0444, 9.6361 Å; angles 122.35, 122.35, 35.23 degrees
Atoms (fractional coordinates):
In1 0.0000 0.0000 0.0000
In2 0.2624 0.2624 0.9952
In3 0.5868 0.5868 0.6612
In4 0.9051 0.9051 0.3285
Cl1 0.3695 0.3695 0.6998
Cl2 0.6560 0.6560 0.3014

Computed properties:
Electronic total energy: -17.16 eV/cell
Relative energy among the computed polymorphs: 0.000 eV/atom